## MgZr2Ru (GGA-PBE)

Data for a relaxed structure of MgZr2Ru.

Cell lengths 5.534, 5.534, 4.979 Å; angles 63.24, 63.24, 36.87 degrees
Atoms (fractional coordinates):
Mg 0.250 0.250 0.250
Ru 0.750 0.750 0.750
Zr 0.040 0.040 0.959
Zr 0.460 0.460 0.541

- total DFT energy (no corrections) (eV per atom) = -7.19
- crystal system = orthorhombic
- density of states at the Fermi level (states/eV/f.u.) = 2.0


## MgZrRu (GGA-PBE)

Data for a relaxed structure of MgZrRu.

Cell lengths 5.698, 5.698, 3.319 Å; angles 73.07, 73.07, 33.86 degrees
Atoms (fractional coordinates):
Mg 0.981 0.981 0.019
Ru 0.324 0.324 0.676
Zr 0.694 0.694 0.306

- total DFT energy (no corrections) (eV per atom) = -6.74
- crystal system = tetragonal
- density of states at the Fermi level (states/eV/f.u.) = 0.4


## MgZrRu (GGA-PBE)

Data for a relaxed structure of MgZrRu.

Cell lengths 4.519, 4.519, 3.076 Å; angles 90.00, 90.00, 120.00 degrees
Atoms (fractional coordinates):
Mg 0.000 0.000 0.051
Ru 0.667 0.333 0.335
Zr 0.333 0.667 0.615

- total DFT energy (no corrections) (eV per atom) = -6.61
- crystal system = trigonal
- density of states at the Fermi level (states/eV/f.u.) = 1.7


## MgZr2Ru (GGA-PBE)

Data for a relaxed structure of MgZr2Ru.

Cell lengths 4.743, 4.743, 4.743 Å; angles 60.00, 60.00, 60.00 degrees
Atoms (fractional coordinates):
Mg 0.500 0.500 0.500
Ru 0.250 0.250 0.250
Zr 0.000 0.000 0.000
Zr 0.750 0.750 0.750

- total DFT energy (no corrections) (eV per atom) = -7.02
- crystal system = cubic
- density of states at the Fermi level (states/eV/f.u.) = 2.6